{
  "formula": "Li3Cr2FeO6",
  "functional": "PBEsol",
  "state": "relaxed",
  "lattice_angstrom": [[6.2868, -1.4251, 0.0000], [6.2868, 1.4251, 0.0000], [-1.3979, 0.0000, 5.5918]],
  "species": ["Li", "Li", "Li", "Cr", "Cr", "Fe", "O", "O", "O", "O", "O", "O"],
  "fractional_positions": [[0.0000, 0.0000, 0.0000], [0.3360, 0.3360, 0.6687], [0.6640, 0.6640, 0.3313], [0.3350, 0.3350, 0.1736], [0.6650, 0.6650, 0.8264], [0.0000, 0.0000, 0.5000], [0.1602, 0.1602, 0.5908], [0.1717, 0.1717, 0.0681], [0.4958, 0.4958, 0.2670], [0.5042, 0.5042, 0.7330], [0.8283, 0.8283, 0.9319], [0.8398, 0.8398, 0.4092]],
  "volume_a3_per_cell": 100,
  "m_tot_mub_per_cell": 6.75,
  "formation_energy_uncorrected_kj_per_mol_atoms": -182
}